No. 1
# Na5I2O2

Na5I2O2 after structural relaxation (PBE, Alexandria via LeMat-Bulk).

Calculated values
- Final energy: -3.258 eV/atom
- Magnetic moment: 0.111 μB/atom
- Formation energy (no corrections): -104.1 kJ per mole of atoms

The structure in POSCAR format:
```
Na5I2O2
1.0
-3.175 -2.542 -1.634
3.825 -3.608 4.077
-4.928 2.224 6.114
Na I O
5 2 2
direct
0.882 0.762 0.384
0.000 0.000 0.000
0.118 0.238 0.616
0.283 0.565 0.103
0.717 0.435 0.897
0.388 0.775 0.674
0.612 0.225 0.326
0.844 0.688 0.116
0.156 0.312 0.884
```

=====

No. 2
# Tm3ScTl

Tm3ScTl after structural relaxation (PBE, Alexandria via LeMat-Bulk).

Calculated values
- Final energy: -4.184 eV/atom
- Energy relative to the elements: 238 meV per atom
- Offset from the most stable computed form: 343 meV/atom
- Magnetic moment: 0.001 μB/atom

The structure in POSCAR format:
```
Tm3ScTl
1.0
-5.081 -3.410 -0.975
4.456 -6.614 -0.093
-0.784 4.185 6.744
Tl Tm Sc
2 6 2
direct
0.676 0.128 0.256
0.324 0.872 0.744
0.000 0.000 0.000
0.543 0.720 0.440
0.500 0.696 0.000
0.457 0.280 0.560
0.500 0.304 0.000
0.000 0.500 0.000
0.000 0.500 0.500
0.000 0.000 0.500
```

=====

No. 3
# MgTcOs2

MgTcOs2 after structural relaxation (PBE, Alexandria via LeMat-Bulk).

Calculated values
- Final energy: -8.338 eV/atom
- Energy relative to the elements: 267 meV per atom
- Magnetic moment: 0.000 μB/atom

The structure in POSCAR format:
```
MgTcOs2
1.0
5.176 -0.004 0.001
2.374 4.600 -0.001
-3.221 -3.207 2.476
Os Tc Mg
2 1 1
direct
0.503 0.503 0.000
0.997 0.997 0.000
0.750 0.250 0.500
0.250 0.750 0.500
```